# 1
Crystalline NaCIN2 at its relaxed geometry. Source: Alexandria, functional PBE.

abc: 3.7297 3.7297 8.3172
angles: 90.00 90.00 90.00
Last column: nearest neighbours and their distance in Å.
Space group P4/mmm (No. 123)
One atom of each set of equivalent atoms:
Na  0.0000  0.0000  0.0000 [1 per cell]  4 I 2.64
C  0.5000  0.5000  0.5000 [1 per cell]  4 N 1.86
I  0.5000  0.5000  0.0000 [1 per cell]  4 Na 2.64
N  0.0000  0.5000  0.5000 [2 per cell]  2 C 1.86

- Energy relative to the elements, uncorrected: 2.139 eV/atom
- Crystal system: tetragonal
- E_tot: -3.61 eV per atom

=====

# 2
Crystalline Pa2SiC at its relaxed geometry. Source: Alexandria, functional PBE.

abc: 3.7285 21.3699 3.7687
angles: 90.00 90.00 90.00
Last column: nearest neighbours and their distance in Å.
Space group Cmcm (No. 63)
One atom of each set of equivalent atoms:
Pa  0.0000  0.0848  0.2500 [4 per cell]  1 C 2.37
Pa  0.0000  0.3066  0.2500 [4 per cell]  5 C 2.37-2.65
Si  0.0000  0.4662  0.2500 [4 per cell]  2 Si 2.38
C  0.0000  0.1954  0.2500 [4 per cell]  2 Pa 2.37

- Energy relative to the elements, uncorrected: -0.386 eV/atom
- Crystal system: orthorhombic
- E_tot: -8.80 eV per atom

=====

# 3
Crystalline PuZnCl6 at its relaxed geometry. Source: Alexandria, functional PBE.

abc: 6.4693 6.4693 17.6553
angles: 90.00 90.00 120.00
Last column: nearest neighbours and their distance in Å.
Space group R-3 (No. 148, hexagonal axes)
One atom of each set of equivalent atoms:
Pu  0.0000  0.0000  0.0000 [3 per cell]  6 Cl 2.61
Zn  0.0000  0.0000  0.5000 [3 per cell]  6 Cl 2.49
Cl  0.0080  0.6475  0.2474 [18 per cell]  1 Zn 2.49, 1 Pu 2.61

- Energy relative to the elements, uncorrected: -1.381 eV/atom
- Crystal system: trigonal
- E_tot: -4.72 eV per atom

=====

# 4
Crystalline Li2GeB at its relaxed geometry. Source: Alexandria, functional PBE.

abc: 5.7460 5.7460 5.7460
angles: 90.00 90.00 90.00
Last column: nearest neighbours and their distance in Å.
Space group Fm-3m (No. 225)
One atom of each set of equivalent atoms:
Li  0.2500  0.2500  0.2500 [8 per cell]  4 B 2.49, 4 Ge 2.49
Ge  0.0000  0.0000  0.0000 [4 per cell]  8 Li 2.49
B  0.0000  0.0000  0.5000 [4 per cell]  8 Li 2.49

- Formation energy: 0.400 eV per atom
- Crystal system: cubic
- E_tot: -3.38 eV per atom

=====

| no. | distance to the lowest polymorph of the same formula (meV/atom) | size of the total moment (μB/f.u.) |
| --- | --- | --- |
| 1 | 0 | 2.4 |
| 2 | 0 | 0.0 |
| 3 | 19 | 4.0 |
| 4 | 112 | 0.0 |